## CrGe2Ru2 (PBE)

Data for an optimized crystal structure of CrGe2Ru2.

The magnetization comes out at 4.1 μB per formula unit. Its density of states at the Fermi level is 6.398 states/eV/cell. The total energy comes out at -7.5028 eV per atom. The calculated formation energy is -0.02 eV per atom.

It has space group P4/mbm (No. 127), with a = 7.119 Å, b = 7.119 Å, c = 2.930 Å, α = 90.00°, β = 90.00° and γ = 90.00°. The distinct sites, in fractional coordinates, are Cr at (0.000, 0.000, 0.000), Ge at (0.148, 0.352, 0.000) and Ru at (0.150, 0.650, 0.500).